[1]
DFT (GGA-PBE) results for Na2TeBr5 after structural relaxation.

```
Na2TeBr5
1.0
-3.826 -1.315 -4.621
-0.066 -5.244 5.628
-9.869 6.812 6.233
Na Te Br
4 2 10
Direct
0.170 0.341 0.573
0.170 0.341 0.927
0.830 0.659 0.073
0.830 0.659 0.427
0.808 0.616 0.750
0.192 0.384 0.250
0.676 0.353 0.592
0.945 0.890 0.612
0.676 0.353 0.908
0.707 0.413 0.250
0.324 0.647 0.408
0.055 0.110 0.388
0.945 0.890 0.888
0.324 0.647 0.092
0.055 0.110 0.112
0.293 0.587 0.750
```

## Properties
offset from the most stable computed form = 0.00 eV/f.u.
energy relative to the elements, uncorrected = -0.913 eV/atom
M_tot = 0.0 μB/f.u.


[2]
DFT (GGA-PBE) results for Nd2TeI after structural relaxation.

```
Nd2TeI
1.0
3.884 0.000 0.000
0.000 3.884 0.000
0.000 0.000 7.769
Nd I Te
2 1 1
Direct
0.000 0.000 0.238
0.000 0.000 0.762
0.500 0.500 0.500
0.500 0.500 0.000
```

## Properties
offset from the most stable computed form = 0.03 eV/f.u.
energy relative to the elements, uncorrected = -1.119 eV/atom
M_tot = 0.0 μB/f.u.


[3]
DFT (GGA-PBE) results for SrHgO2 after structural relaxation.

```
SrHgO2
1.0
3.900 0.000 0.000
-1.950 3.377 0.000
0.000 0.000 19.244
Sr Hg O
3 3 6
Direct
0.329 0.000 0.167
0.671 0.671 0.500
0.000 0.329 0.833
0.000 0.336 0.333
0.336 0.000 0.667
0.664 0.664 0.000
0.996 0.334 0.229
0.334 0.996 0.771
0.338 0.004 0.563
0.004 0.338 0.437
0.666 0.662 0.896
0.662 0.666 0.104
```

## Properties
energy relative to the elements, uncorrected = -1.692 eV/atom
M_tot = 0.0 μB/f.u.


[4]
DFT (GGA-PBE) results for TaMn2Tc after structural relaxation.

```
TaMn2Tc
1.0
-2.434 6.334 5.719
-4.786 6.122 4.285
-4.294 4.406 6.395
Mn Ta Tc
2 1 1
Direct
0.000 0.000 0.000
0.257 0.257 0.257
0.502 0.502 0.502
0.741 0.741 0.741
```

## Properties
offset from the most stable computed form = 1.28 eV/f.u.
ΔE_f = 0.2543 eV/atom
M_tot = 3.5 μB/f.u.


[5]
DFT (GGA-PBE) results for SrCa2O3 after structural relaxation.

```
SrCa2O3
1.0
3.355 0.000 0.000
-1.678 6.346 0.000
0.000 0.000 12.448
O Ca Sr
6 4 2
Direct
0.471 0.942 0.624
0.529 0.058 0.124
0.216 0.433 0.750
0.529 0.058 0.376
0.784 0.567 0.250
0.471 0.942 0.876
0.000 0.000 0.500
0.397 0.794 0.250
0.000 0.000 0.000
0.603 0.206 0.750
0.865 0.729 0.750
0.135 0.271 0.250
```

## Properties
energy relative to the elements, uncorrected = -2.601 eV/atom
M_tot = 0.0 μB/f.u.


[6]
DFT (GGA-PBE) results for GePtO2 after structural relaxation.

```
GePtO2
1.0
1.861 0.000 6.353
-0.930 1.611 6.353
-0.930 -1.611 6.353
O Pt Ge
2 1 1
Direct
0.115 0.115 0.115
0.885 0.885 0.885
0.500 0.500 0.500
0.000 0.000 0.000
```

## Properties
energy relative to the elements, uncorrected = -0.221 eV/atom
M_tot = 0.0 μB/f.u.


[7]
DFT (GGA-PBE) results for LaDy2Sb after structural relaxation.

```
LaDy2Sb
1.0
3.982 0.000 0.000
0.000 3.982 0.000
0.000 0.000 7.525
Sb Dy La
1 2 1
Direct
0.500 0.500 0.500
0.000 0.000 0.288
0.000 0.000 0.712
0.500 0.500 0.000
```

## Properties
offset from the most stable computed form = 0.36 eV/f.u.
energy relative to the elements, uncorrected = -0.482 eV/atom
M_tot = 0.0 μB/f.u.


[8]
DFT (GGA-PBE) results for PmGdSn2 after structural relaxation.

```
PmGdSn2
1.0
-0.181 -3.476 -2.076
2.688 -0.747 -2.940
6.116 -5.132 4.104
Gd Pm Sn
1 1 2
Direct
0.000 0.000 0.000
0.500 0.500 0.500
0.749 0.749 0.753
0.251 0.251 0.247
```

## Properties
offset from the most stable computed form = 0.58 eV/f.u.
ΔE_f = -0.5421 eV/atom
M_tot = 7.1 μB/f.u.


Please write out number 6 again, unchanged.
DFT (GGA-PBE) results for GePtO2 after structural relaxation.

```
GePtO2
1.0
1.861 0.000 6.353
-0.930 1.611 6.353
-0.930 -1.611 6.353
O Pt Ge
2 1 1
Direct
0.115 0.115 0.115
0.885 0.885 0.885
0.500 0.500 0.500
0.000 0.000 0.000
```

## Properties
energy relative to the elements, uncorrected = -0.221 eV/atom
M_tot = 0.0 μB/f.u.


- Number 2 is which compound?
  Nd2TeI